No. 1
{"formula": "AsPSe2S", "functional": "GGA-PBE", "state": "relaxed", "cell": [[4.757, 0.000, 0.000], [0.000, 4.757, 0.000], [0.000, 0.000, 4.889]], "species": ["P", "S", "Se", "As", "Se"], "frac_coords": [[0.500, 0.500, 0.500], [0.000, 0.000, 0.000], [0.500, 0.000, 0.000], [0.000, 0.000, 0.500], [0.000, 0.500, 0.000]], "e_above_lowest_polymorph_kcal_per_mol_atoms": 2.61, "dft_energy_ev_per_atom": -3.260, "sg": "P4/mmm, No. 123", "magmom_total_mub_per_fu": 0.00, "raw_formation_energy_ev_per_atom": 0.9714}


No. 2
{"formula": "As2PSeS", "functional": "GGA-PBE", "state": "relaxed", "cell": [[-0.950, 4.729, -0.267], [-1.026, 0.060, 4.720], [4.505, 0.959, 0.967]], "species": ["Se", "P", "As", "As", "S"], "frac_coords": [[0.000, 0.000, 0.500], [0.500, 0.500, 0.500], [0.000, 0.500, 0.000], [0.500, 0.000, 0.000], [0.000, 0.000, 0.000]], "e_above_lowest_polymorph_kcal_per_mol_atoms": 2.72, "dft_energy_ev_per_atom": -3.452, "sg": "P4/mmm, No. 123", "magmom_total_mub_per_fu": 0.00, "raw_formation_energy_ev_per_atom": 1.0125}


No. 3
{"formula": "Sm6As2P3S", "functional": "GGA-PBE", "state": "relaxed", "cell": [[4.130, 0.000, 0.000], [0.000, 8.264, 0.294], [-2.065, -2.385, 8.677]], "species": ["As", "Sm", "P", "Sm", "As", "Sm", "P", "Sm", "S", "Sm", "Sm", "P"], "frac_coords": [[0.166, 0.331, 0.331], [0.332, 0.921, 0.665], [0.500, 0.500, 0.000], [0.665, 0.587, 0.330], [0.834, 0.669, 0.669], [0.668, 0.079, 0.335], [0.834, 0.166, 0.668], [0.002, 0.746, 0.004], [0.500, 0.000, 0.000], [0.998, 0.254, 0.996], [0.335, 0.413, 0.670], [0.166, 0.834, 0.332]], "dft_energy_ev_per_atom": -6.500, "sg": "C2/m, No. 12", "magmom_total_mub_per_fu": 0.00, "raw_formation_energy_ev_per_atom": -1.6687}


No. 4
{"formula": "Sm6As3PS2", "functional": "GGA-PBE", "state": "relaxed", "cell": [[4.140, 0.000, 0.000], [0.000, 8.250, 0.302], [-2.070, -2.369, 8.691]], "species": ["As", "As", "Sm", "S", "Sm", "Sm", "Sm", "P", "Sm", "Sm", "S", "As"], "frac_coords": [[0.832, 0.168, 0.665], [0.500, 0.500, 0.000], [0.000, 0.756, 0.999], [0.168, 0.335, 0.335], [0.336, 0.918, 0.672], [0.000, 0.244, 0.001], [0.666, 0.583, 0.332], [0.500, 0.000, 0.000], [0.334, 0.417, 0.668], [0.664, 0.082, 0.328], [0.832, 0.665, 0.665], [0.168, 0.832, 0.335]], "dft_energy_ev_per_atom": -6.397, "sg": "C2/m, No. 12", "magmom_total_mub_per_fu": 0.00, "raw_formation_energy_ev_per_atom": -1.7360}


No. 5
{"formula": "Sm4AsP2S", "functional": "GGA-PBE", "state": "relaxed", "cell": [[4.114, 0.000, 0.000], [0.000, 7.131, -0.149], [0.000, 2.500, 6.661]], "species": ["S", "Sm", "Sm", "P", "P", "Sm", "As", "Sm"], "frac_coords": [[0.000, 0.500, 0.500], [0.000, 0.757, 0.747], [0.000, 0.243, 0.253], [0.000, 0.000, 0.000], [0.500, 0.000, 0.500], [0.500, 0.243, 0.753], [0.500, 0.500, 0.000], [0.500, 0.757, 0.247]], "dft_energy_ev_per_atom": -6.534, "sg": "P2/m, No. 10", "magmom_total_mub_per_fu": 0.00, "raw_formation_energy_ev_per_atom": -1.7249}


No. 6
{"formula": "Sm6AsP3S2", "functional": "GGA-PBE", "state": "relaxed", "cell": [[4.100, 0.000, 0.000], [0.000, 8.192, 0.280], [-2.050, -2.375, 8.620]], "species": ["Sm", "S", "Sm", "P", "Sm", "Sm", "As", "P", "Sm", "P", "Sm", "S"], "frac_coords": [[0.668, 0.079, 0.337], [0.168, 0.336, 0.336], [0.999, 0.254, 0.998], [0.833, 0.168, 0.666], [0.336, 0.412, 0.671], [0.001, 0.746, 0.002], [0.500, 0.000, 0.000], [0.500, 0.500, 0.000], [0.332, 0.921, 0.663], [0.167, 0.832, 0.334], [0.664, 0.588, 0.329], [0.832, 0.664, 0.664]], "dft_energy_ev_per_atom": -6.556, "sg": "C2/m, No. 12", "magmom_total_mub_per_fu": 0.00, "raw_formation_energy_ev_per_atom": -1.7682}


Please write out number 2 again, unchanged.
{"formula": "As2PSeS", "functional": "GGA-PBE", "state": "relaxed", "cell": [[-0.950, 4.729, -0.267], [-1.026, 0.060, 4.720], [4.505, 0.959, 0.967]], "species": ["Se", "P", "As", "As", "S"], "frac_coords": [[0.000, 0.000, 0.500], [0.500, 0.500, 0.500], [0.000, 0.500, 0.000], [0.500, 0.000, 0.000], [0.000, 0.000, 0.000]], "e_above_lowest_polymorph_kcal_per_mol_atoms": 2.72, "dft_energy_ev_per_atom": -3.452, "sg": "P4/mmm, No. 123", "magmom_total_mub_per_fu": 0.00, "raw_formation_energy_ev_per_atom": 1.0125}